Mg2NbInN4, optimized geometry, DFT PBE; crystal system = orthorhombic; SG = Pmn2_1 (31); energy relative to the elements, uncorrected = -699 meV per atom; total energy = -54.89 eV per formula unit
1.0
-0.130 0.935 -5.379
5.145 -2.988 -0.644
-3.526 -5.869 -0.935
Mg Nb In N
4 2 2 8
Cartesian
0.769 -2.010 -3.106
-0.987 -4.932 -3.571
0.650 -5.469 -6.476
2.420 -2.523 -6.007
2.440 -4.947 -3.681
0.748 0.423 -5.480
-1.046 -2.496 -5.922
4.235 -2.035 -3.198
0.875 -0.201 -2.036
2.350 -4.587 -5.606
-1.060 -3.002 -2.699
4.274 -1.711 -5.375
0.812 -5.952 -3.175
0.758 -1.533 -5.178
-1.119 -4.657 -5.675
2.460 -3.207 -2.738

---

Mg3NpIn2N6, optimized geometry, DFT PBE; crystal system = monoclinic; SG = C2/m (12); energy relative to the elements, uncorrected = -549 meV per atom; total energy = -79.74 eV per formula unit
1.0
-2.289 4.682 2.064
-0.700 -1.336 -5.399
-3.398 -3.793 2.336
Mg Np In N
3 1 2 6
Cartesian
-2.670 -2.207 -2.959
-3.717 1.760 1.960
-3.194 -0.224 -0.500
0.000 0.000 0.000
-1.229 0.666 -2.916
-1.760 2.680 -0.419
-5.050 0.657 0.410
-3.121 1.646 -1.992
-1.337 -1.105 -1.409
-4.544 -1.259 -1.967
-3.266 -2.093 0.993
-1.843 0.812 0.968

---

MgInN2O, optimized geometry, DFT PBE; crystal system = tetragonal; SG = P4/mmm (123); energy relative to the elements, uncorrected = 774 meV per atom; total energy = -22.07 eV per formula unit
1.0
-3.459 0.619 2.404
0.687 -3.723 1.947
2.352 1.942 2.884
Mg N O In
1 2 1 1
Cartesian
-0.210 -0.581 3.617
0.343 -1.862 0.973
-1.729 0.309 1.202
1.176 0.971 1.442
0.000 0.000 0.000

---

- total energy of number 2 (Mg3NpIn2N6)?
  -79.74 eV per formula unit